[1]
# Tb3TlZn (GGA-PBE, optimized geometry)
# **V**: 27.2 A^3/atom
# **Symmetry**: Cmcm
# **Formation enthalpy at 0 K**: -0.2436 eV/atom
# **Crystal system**: orthorhombic
data_Tb3TlZn
_chemical_formula_sum 'Tb6 Tl2 Zn2'
_space_group_name_H-M_alt 'P 1'
_space_group_IT_number 1
_space_group_name_Hall 'P 1'
_cell_length_a 10.611
_cell_length_b 10.611
_cell_length_c 5.138
_cell_angle_alpha 90.00
_cell_angle_beta 90.00
_cell_angle_gamma 151.98
loop_
_atom_site_label
_atom_site_type_symbol
_atom_site_fract_x
_atom_site_fract_y
_atom_site_fract_z
_atom_site_occupancy
Tb1 Tb 0.061 0.939 0.750 1
Tb2 Tb 0.250 0.750 0.750 1
Tb3 Tb 0.437 0.563 0.750 1
Tb4 Tb 0.563 0.437 0.250 1
Tb5 Tb 0.750 0.250 0.250 1
Tb6 Tb 0.939 0.061 0.250 1
Tl1 Tl 0.343 0.657 0.250 1
Tl2 Tl 0.657 0.343 0.750 1
Zn1 Zn 0.154 0.846 0.250 1
Zn2 Zn 0.846 0.154 0.750 1

[2]
# TbTlZn (GGA-PBE, optimized geometry)
# **V**: 24.6 A^3/atom
# **Symmetry**: I4/mmm
# **Formation enthalpy at 0 K**: -0.1964 eV/atom
# **Crystal system**: tetragonal
data_TbTlZn
_chemical_formula_sum 'Tb4 Tl4 Zn4'
_space_group_name_H-M_alt 'P 1'
_space_group_IT_number 1
_space_group_name_Hall 'P 1'
_cell_length_a 4.387
_cell_length_b 4.387
_cell_length_c 15.352
_cell_angle_alpha 90.00
_cell_angle_beta 90.00
_cell_angle_gamma 90.00
loop_
_atom_site_label
_atom_site_type_symbol
_atom_site_fract_x
_atom_site_fract_y
_atom_site_fract_z
_atom_site_occupancy
Tb1 Tb 0.000 0.000 0.167 1
Tb2 Tb 0.000 0.000 0.833 1
Tb3 Tb 0.500 0.500 0.333 1
Tb4 Tb 0.500 0.500 0.667 1
Tl1 Tl 0.000 0.500 0.000 1
Tl2 Tl 0.000 0.500 0.500 1
Tl3 Tl 0.500 0.000 0.000 1
Tl4 Tl 0.500 0.000 0.500 1
Zn1 Zn 0.000 0.000 0.361 1
Zn2 Zn 0.000 0.000 0.639 1
Zn3 Zn 0.500 0.500 0.139 1
Zn4 Zn 0.500 0.500 0.861 1

[3]
# Tb3Tl2Zn2 (GGA-PBE, optimized geometry)
# **V**: 24.5 A^3/atom
# **Symmetry**: Cmmm
# **Formation enthalpy at 0 K**: -0.3479 eV/atom
# **Crystal system**: orthorhombic
data_Tb3Tl2Zn2
_chemical_formula_sum 'Tb6 Tl4 Zn4'
_space_group_name_H-M_alt 'P 1'
_space_group_IT_number 1
_space_group_name_Hall 'P 1'
_cell_length_a 4.394
_cell_length_b 21.646
_cell_length_c 3.603
_cell_angle_alpha 90.00
_cell_angle_beta 90.00
_cell_angle_gamma 90.00
loop_
_atom_site_label
_atom_site_type_symbol
_atom_site_fract_x
_atom_site_fract_y
_atom_site_fract_z
_atom_site_occupancy
Tb1 Tb 0.000 0.000 0.000 1
Tb2 Tb 0.000 0.166 0.000 1
Tb3 Tb 0.000 0.834 0.000 1
Tb4 Tb 0.500 0.334 0.000 1
Tb5 Tb 0.500 0.500 0.000 1
Tb6 Tb 0.500 0.666 0.000 1
Tl1 Tl 0.000 0.418 0.500 1
Tl2 Tl 0.000 0.582 0.500 1
Tl3 Tl 0.500 0.082 0.500 1
Tl4 Tl 0.500 0.918 0.500 1
Zn1 Zn 0.000 0.280 0.500 1
Zn2 Zn 0.000 0.720 0.500 1
Zn3 Zn 0.500 0.220 0.500 1
Zn4 Zn 0.500 0.780 0.500 1

[4]
# Tb3Tl3Zn (GGA-PBE, optimized geometry)
# **V**: 26.7 A^3/atom
# **Symmetry**: C2/m
# **Formation enthalpy at 0 K**: -0.3046 eV/atom
# **Crystal system**: monoclinic
data_Tb3Tl3Zn
_chemical_formula_sum 'Tb6 Tl6 Zn2'
_space_group_name_H-M_alt 'P 1'
_space_group_IT_number 1
_space_group_name_Hall 'P 1'
_cell_length_a 6.136
_cell_length_b 6.136
_cell_length_c 15.123
_cell_angle_alpha 107.62
_cell_angle_beta 107.62
_cell_angle_gamma 44.07
loop_
_atom_site_label
_atom_site_type_symbol
_atom_site_fract_x
_atom_site_fract_y
_atom_site_fract_z
_atom_site_occupancy
Tb1 Tb 0.031 0.031 0.381 1
Tb2 Tb 0.097 0.097 0.920 1
Tb3 Tb 0.236 0.236 0.227 1
Tb4 Tb 0.764 0.764 0.773 1
Tb5 Tb 0.903 0.903 0.080 1
Tb6 Tb 0.969 0.969 0.619 1
Tl1 Tl 0.355 0.355 0.460 1
Tl2 Tl 0.372 0.372 0.925 1
Tl3 Tl 0.484 0.484 0.767 1
Tl4 Tl 0.516 0.516 0.233 1
Tl5 Tl 0.628 0.628 0.075 1
Tl6 Tl 0.645 0.645 0.540 1
Zn1 Zn 0.258 0.258 0.624 1
Zn2 Zn 0.742 0.742 0.376 1

[5]
# Tb11Tl9Zn4 (GGA-PBE, optimized geometry)
# **V**: 25.9 A^3/atom
# **Symmetry**: Cmmm
# **Formation enthalpy at 0 K**: -0.3321 eV/atom
# **Crystal system**: orthorhombic
data_Tb11Tl9Zn4
_chemical_formula_sum 'Tb11 Tl9 Zn4'
_space_group_name_H-M_alt 'P 1'
_space_group_IT_number 1
_space_group_name_Hall 'P 1'
_cell_length_a 13.340
_cell_length_b 13.340
_cell_length_c 3.789
_cell_angle_alpha 90.00
_cell_angle_beta 90.00
_cell_angle_gamma 112.77
loop_
_atom_site_label
_atom_site_type_symbol
_atom_site_fract_x
_atom_site_fract_y
_atom_site_fract_z
_atom_site_occupancy
Tb1 Tb 0.000 0.000 0.000 1
Tb2 Tb 0.074 0.415 0.000 1
Tb3 Tb 0.163 0.837 0.000 1
Tb4 Tb 0.297 0.297 0.000 1
Tb5 Tb 0.366 0.634 0.000 1
Tb6 Tb 0.415 0.074 0.000 1
Tb7 Tb 0.585 0.926 0.000 1
Tb8 Tb 0.634 0.366 0.000 1
Tb9 Tb 0.703 0.703 0.000 1
Tb10 Tb 0.837 0.163 0.000 1
Tb11 Tb 0.926 0.585 0.000 1
Tl1 Tl 0.064 0.214 0.500 1
Tl2 Tl 0.149 0.630 0.500 1
Tl3 Tl 0.214 0.064 0.500 1
Tl4 Tl 0.370 0.851 0.500 1
Tl5 Tl 0.500 0.500 0.500 1
Tl6 Tl 0.630 0.149 0.500 1
Tl7 Tl 0.786 0.936 0.500 1
Tl8 Tl 0.851 0.370 0.500 1
Tl9 Tl 0.936 0.786 0.500 1
Zn1 Zn 0.256 0.451 0.500 1
Zn2 Zn 0.451 0.256 0.500 1
Zn3 Zn 0.549 0.744 0.500 1
Zn4 Zn 0.744 0.549 0.500 1

[6]
# Tb2TlZn (GGA-PBE, optimized geometry)
# **V**: 25.3 A^3/atom
# **Symmetry**: P4/mmm
# **Formation enthalpy at 0 K**: -0.3551 eV/atom
# **Crystal system**: tetragonal
data_Tb2TlZn
_chemical_formula_sum 'Tb2 Tl1 Zn1'
_space_group_name_H-M_alt 'P 1'
_space_group_IT_number 1
_space_group_name_Hall 'P 1'
_cell_length_a 3.681
_cell_length_b 3.681
_cell_length_c 7.460
_cell_angle_alpha 90.00
_cell_angle_beta 90.00
_cell_angle_gamma 90.00
loop_
_atom_site_label
_atom_site_type_symbol
_atom_site_fract_x
_atom_site_fract_y
_atom_site_fract_z
_atom_site_occupancy
Tb1 Tb 0.000 0.000 0.228 1
Tb2 Tb 0.000 0.000 0.772 1
Tl1 Tl 0.500 0.500 0.500 1
Zn1 Zn 0.500 0.500 0.000 1

[7]
# Tb8TlZn2 (GGA-PBE, optimized geometry)
# **V**: 28.0 A^3/atom
# **Symmetry**: C2/m
# **Formation enthalpy at 0 K**: -0.1800 eV/atom
# **Crystal system**: monoclinic
data_Tb8TlZn2
_chemical_formula_sum 'Tb8 Tl1 Zn2'
_space_group_name_H-M_alt 'P 1'
_space_group_IT_number 1
_space_group_name_Hall 'P 1'
_cell_length_a 8.504
_cell_length_b 8.504
_cell_length_c 8.352
_cell_angle_alpha 117.64
_cell_angle_beta 117.64
_cell_angle_gamma 35.67
loop_
_atom_site_label
_atom_site_type_symbol
_atom_site_fract_x
_atom_site_fract_y
_atom_site_fract_z
_atom_site_occupancy
Tb1 Tb 0.067 0.067 0.223 1
Tb2 Tb 0.149 0.149 0.709 1
Tb3 Tb 0.315 0.315 0.537 1
Tb4 Tb 0.397 0.397 0.037 1
Tb5 Tb 0.603 0.603 0.963 1
Tb6 Tb 0.685 0.685 0.463 1
Tb7 Tb 0.851 0.851 0.291 1
Tb8 Tb 0.933 0.933 0.777 1
Tl1 Tl 0.500 0.500 0.500 1
Zn1 Zn 0.220 0.220 0.117 1
Zn2 Zn 0.780 0.780 0.883 1

[8]
# Tb3TlZn (GGA-PBE, optimized geometry)
# **V**: 26.9 A^3/atom
# **Symmetry**: Pm-3m
# **Formation enthalpy at 0 K**: -0.2078 eV/atom
# **Crystal system**: cubic
data_Tb3TlZn
_chemical_formula_sum 'Tb9 Tl3 Zn3'
_space_group_name_H-M_alt 'P 1'
_space_group_IT_number 1
_space_group_name_Hall 'P 1'
_cell_length_a 7.386
_cell_length_b 7.386
_cell_length_c 7.386
_cell_angle_alpha 90.00
_cell_angle_beta 90.00
_cell_angle_gamma 90.00
loop_
_atom_site_label
_atom_site_type_symbol
_atom_site_fract_x
_atom_site_fract_y
_atom_site_fract_z
_atom_site_occupancy
Tb1 Tb 0.000 0.000 0.000 1
Tb2 Tb 0.266 0.266 0.266 1
Tb3 Tb 0.266 0.266 0.734 1
Tb4 Tb 0.266 0.734 0.266 1
Tb5 Tb 0.266 0.734 0.734 1
Tb6 Tb 0.734 0.266 0.266 1
Tb7 Tb 0.734 0.266 0.734 1
Tb8 Tb 0.734 0.734 0.266 1
Tb9 Tb 0.734 0.734 0.734 1
Tl1 Tl 0.000 0.000 0.500 1
Tl2 Tl 0.000 0.500 0.000 1
Tl3 Tl 0.500 0.000 0.000 1
Zn1 Zn 0.000 0.500 0.500 1
Zn2 Zn 0.500 0.000 0.500 1
Zn3 Zn 0.500 0.500 0.000 1

[9]
# TbTlZn (GGA-PBE, optimized geometry)
# **V**: 23.5 A^3/atom
# **Symmetry**: P-6m2
# **Formation enthalpy at 0 K**: -0.2950 eV/atom
# **Crystal system**: hexagonal
data_TbTlZn
_chemical_formula_sum 'Tb1 Tl1 Zn1'
_space_group_name_H-M_alt 'P 1'
_space_group_IT_number 1
_space_group_name_Hall 'P 1'
_cell_length_a 4.712
_cell_length_b 4.712
_cell_length_c 3.672
_cell_angle_alpha 90.00
_cell_angle_beta 90.00
_cell_angle_gamma 120.00
loop_
_atom_site_label
_atom_site_type_symbol
_atom_site_fract_x
_atom_site_fract_y
_atom_site_fract_z
_atom_site_occupancy
Tb1 Tb 0.000 0.000 0.000 1
Tl1 Tl 0.667 0.333 0.500 1
Zn1 Zn 0.333 0.667 0.500 1

[10]
# TbTlZn (GGA-PBE, optimized geometry)
# **V**: 24.0 A^3/atom
# **Symmetry**: I4mm
# **Formation enthalpy at 0 K**: -0.1727 eV/atom
# **Crystal system**: tetragonal
data_TbTlZn
_chemical_formula_sum 'Tb2 Tl2 Zn2'
_space_group_name_H-M_alt 'P 1'
_space_group_IT_number 1
_space_group_name_Hall 'P 1'
_cell_length_a 3.529
_cell_length_b 3.529
_cell_length_c 11.567
_cell_angle_alpha 90.00
_cell_angle_beta 90.00
_cell_angle_gamma 90.00
loop_
_atom_site_label
_atom_site_type_symbol
_atom_site_fract_x
_atom_site_fract_y
_atom_site_fract_z
_atom_site_occupancy
Tb1 Tb 0.000 0.000 0.000 1
Tb2 Tb 0.500 0.500 0.500 1
Tl1 Tl 0.000 0.000 0.695 1
Tl2 Tl 0.500 0.500 0.195 1
Zn1 Zn 0.000 0.000 0.343 1
Zn2 Zn 0.500 0.500 0.843 1

Look up the V of the fourth one.
26.7 A^3/atom

Please write out number 4 again, unchanged.
# Tb3Tl3Zn (GGA-PBE, optimized geometry)
# **V**: 26.7 A^3/atom
# **Symmetry**: C2/m
# **Formation enthalpy at 0 K**: -0.3046 eV/atom
# **Crystal system**: monoclinic
data_Tb3Tl3Zn
_chemical_formula_sum 'Tb6 Tl6 Zn2'
_space_group_name_H-M_alt 'P 1'
_space_group_IT_number 1
_space_group_name_Hall 'P 1'
_cell_length_a 6.136
_cell_length_b 6.136
_cell_length_c 15.123
_cell_angle_alpha 107.62
_cell_angle_beta 107.62
_cell_angle_gamma 44.07
loop_
_atom_site_label
_atom_site_type_symbol
_atom_site_fract_x
_atom_site_fract_y
_atom_site_fract_z
_atom_site_occupancy
Tb1 Tb 0.031 0.031 0.381 1
Tb2 Tb 0.097 0.097 0.920 1
Tb3 Tb 0.236 0.236 0.227 1
Tb4 Tb 0.764 0.764 0.773 1
Tb5 Tb 0.903 0.903 0.080 1
Tb6 Tb 0.969 0.969 0.619 1
Tl1 Tl 0.355 0.355 0.460 1
Tl2 Tl 0.372 0.372 0.925 1
Tl3 Tl 0.484 0.484 0.767 1
Tl4 Tl 0.516 0.516 0.233 1
Tl5 Tl 0.628 0.628 0.075 1
Tl6 Tl 0.645 0.645 0.540 1
Zn1 Zn 0.258 0.258 0.624 1
Zn2 Zn 0.742 0.742 0.376 1